<i>
Pm3Y3Mg | PBE | relaxed

a b c (Å): 6.234 6.234 14.573
angles (deg): 77.65 77.65 60.00
Atoms (fractional coordinates):
Mg (0.667, 0.667, 0.000)
Mg (0.333, 0.333, 0.000)
Pm (0.130, 0.464, 0.610)
Pm (0.204, 0.870, 0.390)
Pm (0.796, 0.130, 0.610)
Pm (0.870, 0.536, 0.390)
Pm (0.464, 0.796, 0.610)
Pm (0.536, 0.204, 0.390)
Y (0.398, 0.062, 0.814)
Y (0.274, 0.602, 0.186)
Y (0.726, 0.398, 0.814)
Y (0.938, 0.274, 0.186)
Y (0.062, 0.726, 0.814)
Y (0.602, 0.938, 0.186)

---

<ii>
Pm3Y3Mg | PBE | relaxed

a b c (Å): 5.727 9.526 9.527
angles (deg): 120.03 90.00 90.00
Atoms (fractional coordinates):
Y (0.250, 0.520, 0.624)
Y (0.750, 0.624, 0.104)
Y (0.250, 0.376, 0.896)
Y (0.750, 0.897, 0.521)
Y (0.250, 0.103, 0.479)
Y (0.750, 0.480, 0.376)
Pm (0.750, 0.755, 0.815)
Pm (0.250, 0.815, 0.060)
Pm (0.250, 0.940, 0.755)
Pm (0.250, 0.245, 0.185)
Pm (0.750, 0.185, 0.940)
Pm (0.750, 0.060, 0.245)
Mg (0.750, 0.333, 0.667)
Mg (0.250, 0.667, 0.333)

---

Short version: <ii> is the most stable of them.

---

<i>
Pm3Y4Mg | PBE | relaxed

a b c (Å): 6.229 7.272 11.385
angles (deg): 90.00 90.00 90.00
Atoms (fractional coordinates):
Pm (0.497, 0.122, 0.000)
Pm (0.649, 0.378, 0.252)
Pm (0.649, 0.378, 0.748)
Pm (0.149, 0.622, 0.752)
Pm (0.997, 0.878, 0.500)
Pm (0.149, 0.622, 0.248)
Y (0.472, 0.131, 0.500)
Y (0.638, 0.873, 0.257)
Y (0.138, 0.127, 0.757)
Y (0.483, 0.628, 0.000)
Y (0.983, 0.372, 0.500)
Y (0.638, 0.873, 0.743)
Y (0.138, 0.127, 0.243)
Y (0.972, 0.869, 0.000)
Mg (0.489, 0.623, 0.500)
Mg (0.989, 0.377, 0.000)

---

<ii>
Pm3Y4Mg | PBE | relaxed

a b c (Å): 3.442 5.896 13.123
angles (deg): 96.52 97.54 90.00
Atoms (fractional coordinates):
Pm (0.850, 0.288, 0.700)
Pm (0.150, 0.712, 0.300)
Pm (0.000, 0.500, 0.000)
Mg (0.500, 0.000, 0.000)
Y (0.718, 0.236, 0.435)
Y (0.282, 0.764, 0.565)
Y (0.101, 0.185, 0.202)
Y (0.899, 0.815, 0.798)

---

Short version: <i> is the most stable of them.

---

<i>
Pm2YMg | PBE | relaxed

a b c (Å): 5.227 5.227 9.830
angles (deg): 105.43 105.43 90.00
Atoms (fractional coordinates):
Y (0.362, 0.362, 0.224)
Y (0.638, 0.638, 0.776)
Mg (0.250, 0.750, 0.000)
Mg (0.750, 0.250, 0.000)
Pm (0.865, 0.865, 0.230)
Pm (0.135, 0.135, 0.770)
Pm (0.500, 0.000, 0.500)
Pm (0.000, 0.500, 0.500)

---

<ii>
Pm2YMg | PBE | relaxed

a b c (Å): 5.602 5.602 5.602
angles (deg): 60.00 60.00 60.00
Atoms (fractional coordinates):
Pm (0.750, 0.750, 0.750)
Pm (0.250, 0.250, 0.250)
Mg (0.500, 0.500, 0.500)
Y (0.000, 0.000, 0.000)

---

Short version: <i> is the most stable of them.

---

<i>
Pm2YMg | PBE | relaxed

a b c (Å): 4.949 5.004 5.004
angles (deg): 90.00 90.00 90.00
Atoms (fractional coordinates):
Pm (0.000, 0.000, 0.500)
Pm (0.000, 0.500, 0.000)
Mg (0.500, 0.500, 0.500)
Y (0.500, 0.000, 0.000)

---

<ii>
Pm2YMg | PBE | relaxed

a b c (Å): 3.566 3.566 11.683
angles (deg): 81.22 81.22 60.00
Atoms (fractional coordinates):
Mg (0.500, 0.500, 0.500)
Pm (0.085, 0.085, 0.745)
Pm (0.248, 0.248, 0.255)
Y (0.667, 0.667, 0.999)

---

<iii>
Pm2YMg | PBE | relaxed

a b c (Å): 3.728 3.728 8.998
angles (deg): 90.00 90.00 90.00
Atoms (fractional coordinates):
Mg (0.500, 0.500, 0.000)
Pm (0.000, 0.000, 0.773)
Pm (0.000, 0.000, 0.227)
Y (0.500, 0.500, 0.500)

---

Short version: <iii> is the most stable of them.

---

<i>
Pm6YMg | PBE | relaxed

a b c (Å): 8.608 9.657 6.471
angles (deg): 41.69 48.25 55.78
Atoms (fractional coordinates):
Pm (0.761, 0.946, 0.820)
Pm (0.527, 0.239, 0.288)
Pm (0.239, 0.054, 0.180)
Pm (0.054, 0.473, 0.234)
Pm (0.473, 0.761, 0.712)
Pm (0.946, 0.527, 0.766)
Y (0.500, 0.500, 0.500)
Mg (0.000, 0.000, 0.000)

---

<ii>
Pm6YMg | PBE | relaxed

a b c (Å): 5.080 5.080 10.771
angles (deg): 76.36 76.36 90.00
Atoms (fractional coordinates):
Y (0.500, 0.500, 0.000)
Mg (0.000, 0.000, 0.000)
Pm (0.878, 0.378, 0.244)
Pm (0.622, 0.122, 0.756)
Pm (0.748, 0.748, 0.504)
Pm (0.378, 0.878, 0.244)
Pm (0.252, 0.252, 0.496)
Pm (0.122, 0.622, 0.756)

---

Short version: <ii> is the most stable of them.

---

<i>
Pm4Y7Mg | PBE | relaxed

a b c (Å): 7.234 9.570 11.449
angles (deg): 68.94 50.81 40.89
Atoms (fractional coordinates):
Y (0.249, 0.500, 0.000)
Y (0.500, 0.000, 0.000)
Y (0.115, 0.217, 0.668)
Y (0.751, 0.500, 0.000)
Y (0.885, 0.783, 0.332)
Y (0.607, 0.226, 0.667)
Y (0.393, 0.774, 0.333)
Pm (0.143, 0.280, 0.332)
Pm (0.365, 0.721, 0.668)
Pm (0.857, 0.720, 0.668)
Pm (0.635, 0.279, 0.332)
Mg (0.000, 0.000, 0.000)

---

<ii>
Pm4Y7Mg | PBE | relaxed

a b c (Å): 5.887 8.863 9.159
angles (deg): 65.95 71.26 70.60
Atoms (fractional coordinates):
Y (0.697, 0.487, 0.119)
Y (0.819, 0.034, 0.329)
Y (0.181, 0.966, 0.671)
Y (0.954, 0.358, 0.734)
Y (0.500, 0.000, 0.000)
Y (0.303, 0.513, 0.881)
Y (0.046, 0.642, 0.266)
Pm (0.227, 0.242, 0.304)
Pm (0.419, 0.723, 0.440)
Pm (0.581, 0.277, 0.560)
Pm (0.773, 0.758, 0.696)
Mg (0.000, 0.000, 0.000)

---

Short version: <i> is the most stable of them.